1.
Material: BeV2CdO
Method: DFT, PBE+U
State: optimized geometry

a = 4.0666 Å, b = 4.0666 Å, c = 4.8585 Å
α = 90.00°, β = 90.00°, γ = 90.00°
With the nearest neighbours (Å) after each atom.
Space group P4/mmm (No. 123)
Inequivalent atoms, fractional coordinates:
Be 0.0000 0.0000 0.0000 (multiplicity 1)  4 Cd 2.88, 8 V 3.17
V 0.0000 0.5000 0.5000 (multiplicity 2)  2 O 2.03
Cd 0.5000 0.5000 0.0000 (multiplicity 1)  2 O 2.43
O 0.5000 0.5000 0.5000 (multiplicity 1)  4 V 2.03

2.
Material: BeVCd2O
Method: DFT, PBE+U
State: optimized geometry

a = 5.2697 Å, b = 5.2697 Å, c = 4.4168 Å
α = 90.00°, β = 90.00°, γ = 90.00°
With the nearest neighbours (Å) after each atom.
Space group P4/mmm (No. 123)
Inequivalent atoms, fractional coordinates:
Be 0.0000 0.0000 0.0000 (multiplicity 1)  2 V 2.21
V 0.0000 0.0000 0.5000 (multiplicity 1)  2 Be 2.21
Cd 0.0000 0.5000 0.5000 (multiplicity 2)  2 V 2.63
O 0.5000 0.5000 0.0000 (multiplicity 1)  8 Cd 3.44, 4 Be 3.73

3.
Material: BeV2CdO6
Method: DFT, PBE+U
State: optimized geometry

a = 10.2184 Å, b = 9.9056 Å, c = 5.7151 Å
α = 90.00°, β = 112.96°, γ = 90.00°
With the nearest neighbours (Å) after each atom.
Space group C2/c (No. 15)
Inequivalent atoms, fractional coordinates:
Be 0.0000 0.1883 0.2500 (multiplicity 4)  4 O 1.64-1.67
V 0.1901 0.4088 0.6768 (multiplicity 8)  4 O 1.80-1.85
Cd 0.0000 0.1170 0.7500 (multiplicity 4)  6 O 2.33-2.43
O 0.0875 0.2637 0.5214 (multiplicity 8)  1 Be 1.64, 1 V 1.80
O 0.1137 0.0880 0.1874 (multiplicity 8)  1 Be 1.67, 1 V 1.85
O 0.1511 0.4504 0.9528 (multiplicity 8)  2 V 1.82-1.83

4.
Material: BeVCd2O5
Method: DFT, PBE+U
State: optimized geometry

a = 3.0312 Å, b = 13.0335 Å, c = 10.5679 Å
α = 90.00°, β = 90.00°, γ = 90.00°
With the nearest neighbours (Å) after each atom.
Space group Cmc2_1 (No. 36)
Inequivalent atoms, fractional coordinates:
Be 0.0000 0.0755 0.0000 (multiplicity 4)  4 O 1.60-1.74
V 0.0000 0.2899 0.6260 (multiplicity 4)  6 O 1.85-2.04
Cd 0.0000 0.3652 0.9128 (multiplicity 4)  7 O 2.31-2.55
Cd 0.0000 0.4380 0.2314 (multiplicity 4)  5 O 2.28-2.31
O 0.0000 0.0051 0.8761 (multiplicity 4)  1 Be 1.60
O 0.0000 0.1488 0.6061 (multiplicity 4)  1 V 1.85
O 0.0000 0.1978 0.2461 (multiplicity 4)  2 V 1.98
O 0.0000 0.2019 0.9965 (multiplicity 4)  1 Be 1.65
O 0.0000 0.4372 0.5795 (multiplicity 4)  2 Be 1.74

5.
Material: Be2VCdO6
Method: DFT, PBE+U
State: optimized geometry

a = 8.9665 Å, b = 8.7196 Å, c = 5.2442 Å
α = 90.00°, β = 103.60°, γ = 90.00°
With the nearest neighbours (Å) after each atom.
Space group C2/c (No. 15)
Inequivalent atoms, fractional coordinates:
Be 0.1977 0.0831 0.3011 (multiplicity 8)  4 O 1.62-1.68
V 0.0000 0.3920 0.2500 (multiplicity 4)  4 O 1.75-1.95
Cd 0.0000 0.1941 0.7500 (multiplicity 4)  6 O 2.26-2.45
O 0.1134 0.4252 0.6123 (multiplicity 8)  1 Be 1.65
O 0.1354 0.0321 0.5557 (multiplicity 8)  2 Be 1.62-1.63
O 0.1368 0.2601 0.1981 (multiplicity 8)  1 Be 1.68, 1 V 1.75

6.
Material: Be2VCd2O6
Method: DFT, PBE+U
State: optimized geometry

a = 5.1713 Å, b = 5.1713 Å, c = 5.5764 Å
α = 90.00°, β = 90.00°, γ = 120.00°
With the nearest neighbours (Å) after each atom.
Space group P-3 (No. 147)
Inequivalent atoms, fractional coordinates:
Be 0.3333 0.6667 0.3159 (multiplicity 2)  3 O 1.54
V 0.0000 0.0000 0.5000 (multiplicity 1)  6 O 1.98
Cd 0.3333 0.6667 0.8280 (multiplicity 2)  3 O 2.19
O 0.0739 0.7316 0.2935 (multiplicity 6)  1 Be 1.54

Uncorrected energy? In order: -4.69, -1.84, -6.79, -5.86, -6.36, -5.89 eV per atom.